<P>
The following is a DFT calculation (PBE-GGA) of crystalline FeNiSe at its relaxed geometry.

extended XYZ file:
```
3
Lattice="3.913 0.000 0.000 -1.956 3.388 0.000 0.000 0.000 3.246" Properties=species:S:1:pos:R:3 pbc="T T T"
Fe 0.000 0.000 0.000
Ni 0.000 2.259 1.416
Se 1.956 1.129 1.885
```

Calculated values
* N(E_F): 2.667 states/eV/f.u.
* theoretical density: 7.47 g cm⁻³

---

<Q>
The following is a DFT calculation (PBE-GGA) of crystalline FeNiSe at its relaxed geometry.

extended XYZ file:
```
3
Lattice="0.000 2.849 2.849 2.849 0.000 2.849 2.849 2.849 0.000" Properties=species:S:1:pos:R:3 pbc="T T T"
Fe 0.000 0.000 0.000
Ni 1.425 1.425 1.425
Se 2.849 2.849 2.849
```

Calculated values
* N(E_F): 3.861 states/eV/f.u.
* theoretical density: 6.95 g cm⁻³

---

<R>
The following is a DFT calculation (PBE-GGA) of crystalline FeNiSe at its relaxed geometry.

extended XYZ file:
```
6
Lattice="1.928 1.113 6.156 -1.928 1.113 6.156 0.000 -2.226 6.156" Properties=species:S:1:pos:R:3 pbc="T T T"
Fe 0.000 0.000 3.939
Fe 0.000 0.000 14.529
Ni 0.000 0.000 6.865
Ni 0.000 0.000 11.603
Se 0.000 0.000 1.636
Se 0.000 0.000 16.832
```

Calculated values
* N(E_F): 1.989 states/eV/f.u.
* theoretical density: 8.11 g cm⁻³

---

Stability check: which of them is most stable? <R>.

---

<P>
The following is a DFT calculation (PBE-GGA) of crystalline FeNiSe2 at its relaxed geometry.

extended XYZ file:
```
4
Lattice="-1.775 1.867 6.086 1.775 -1.867 6.086 1.775 1.867 -6.086" Properties=species:S:1:pos:R:3 pbc="T T T"
Fe 0.000 0.000 0.000
Ni 0.000 0.000 6.086
Se 1.775 0.000 4.486
Se 0.000 1.867 1.600
```

Calculated values
* N(E_F): 2.199 states/eV/f.u.
* theoretical density: 5.61 g cm⁻³

---

<Q>
The following is a DFT calculation (PBE-GGA) of crystalline FeNiSe2 at its relaxed geometry.

extended XYZ file:
```
4
Lattice="0.000 3.085 3.085 3.085 0.000 3.085 3.085 3.085 0.000" Properties=species:S:1:pos:R:3 pbc="T T T"
Fe 0.000 0.000 0.000
Ni 3.085 3.085 3.085
Se 1.543 1.543 1.543
Se 4.628 4.628 4.628
```

Calculated values
* N(E_F): 5.720 states/eV/f.u.
* theoretical density: 7.70 g cm⁻³

---

Stability check: which of them is most stable? <P>.

---

<P>
The following is a DFT calculation (PBE-GGA) of crystalline FeNiSe2 at its relaxed geometry.

extended XYZ file:
```
8
Lattice="-2.657 2.657 5.284 2.657 -2.657 5.284 2.657 2.657 -5.284" Properties=species:S:1:pos:R:3 pbc="T T T"
Fe 0.000 0.000 0.000
Fe 0.000 2.657 2.642
Ni 2.657 0.000 2.642
Ni 0.000 0.000 5.284
Se 3.986 1.280 -1.321
Se 1.280 1.329 1.321
Se -1.329 1.377 3.963
Se 1.377 1.329 6.605
```

Calculated values
* N(E_F): 3.178 states/eV/f.u.
* theoretical density: 6.06 g cm⁻³

---

<Q>
The following is a DFT calculation (PBE-GGA) of crystalline FeNiSe2 at its relaxed geometry.

extended XYZ file:
```
4
Lattice="1.750 1.010 6.144 -1.750 1.010 6.144 0.000 -2.021 6.144" Properties=species:S:1:pos:R:3 pbc="T T T"
Fe 0.000 0.000 0.000
Ni 0.000 0.000 9.216
Se 0.000 0.000 4.544
Se 0.000 0.000 13.888
```

Calculated values
* N(E_F): 3.474 states/eV/f.u.
* theoretical density: 6.94 g cm⁻³

---

<R>
The following is a DFT calculation (PBE-GGA) of crystalline FeNiSe2 at its relaxed geometry.

extended XYZ file:
```
4
Lattice="-1.582 1.682 7.096 1.582 -1.682 7.096 1.582 1.682 -7.096" Properties=species:S:1:pos:R:3 pbc="T T T"
Fe 0.000 0.000 0.000
Ni 0.000 1.682 1.834
Se 1.582 0.000 2.479
Se 0.000 0.000 6.081
```

Calculated values
* N(E_F): 3.250 states/eV/f.u.
* theoretical density: 5.99 g cm⁻³

---

Stability check: which of them is most stable? <P>.

---

<P>
The following is a DFT calculation (PBE-GGA) of crystalline FeNiSe2 at its relaxed geometry.

extended XYZ file:
```
4
Lattice="0.000 3.167 3.167 3.167 0.000 3.167 3.167 3.167 0.000" Properties=species:S:1:pos:R:3 pbc="T T T"
Fe 0.000 0.000 0.000
Ni 1.584 1.584 1.584
Se 3.167 3.167 3.167
Se 4.751 4.751 4.751
```

Calculated values
* N(E_F): 3.435 states/eV/f.u.
* theoretical density: 7.12 g cm⁻³

---

<Q>
The following is a DFT calculation (PBE-GGA) of crystalline FeNiSe2 at its relaxed geometry.

extended XYZ file:
```
4
Lattice="1.810 1.045 6.417 -1.810 1.045 6.417 0.000 -2.090 6.417" Properties=species:S:1:pos:R:3 pbc="T T T"
Fe 0.000 0.000 0.000
Ni 0.000 0.000 14.028
Se 0.000 0.000 5.135
Se 0.000 0.000 8.614
```

Calculated values
* N(E_F): 2.532 states/eV/f.u.
* theoretical density: 6.21 g cm⁻³

---

Stability check: which of them is most stable? <Q>.

---

<P>
The following is a DFT calculation (PBE-GGA) of crystalline FeNiSe2 at its relaxed geometry.

extended XYZ file:
```
4
Lattice="3.701 0.000 0.000 0.000 3.704 0.000 -0.171 0.000 5.712" Properties=species:S:1:pos:R:3 pbc="T T T"
Fe 0.000 0.000 0.000
Ni 1.849 1.852 0.002
Se 1.851 0.000 1.451
Se 3.525 1.852 4.263
```

Calculated values
* N(E_F): 4.115 states/eV/f.u.
* theoretical density: 5.78 g cm⁻³

---

<Q>
The following is a DFT calculation (PBE-GGA) of crystalline FeNiSe2 at its relaxed geometry.

extended XYZ file:
```
4
Lattice="3.248 0.000 0.000 0.000 3.248 0.000 0.000 0.000 6.670" Properties=species:S:1:pos:R:3 pbc="T T T"
Fe 0.000 0.000 0.000
Ni 1.624 1.624 1.432
Se 0.000 0.000 2.333
Se 1.624 1.624 5.709
```

Calculated values
* N(E_F): 3.589 states/eV/f.u.
* theoretical density: 6.43 g cm⁻³

---

<R>
The following is a DFT calculation (PBE-GGA) of crystalline FeNiSe2 at its relaxed geometry.

extended XYZ file:
```
4
Lattice="3.081 0.000 0.000 0.000 3.081 0.000 0.000 0.000 6.128" Properties=species:S:1:pos:R:3 pbc="T T T"
Fe 0.000 0.000 0.000
Ni 0.000 0.000 3.064
Se 1.541 1.541 1.510
Se 1.541 1.541 4.618
```

Calculated values
* N(E_F): 1.693 states/eV/f.u.
* theoretical density: 7.78 g cm⁻³

---

Stability check: which of them is most stable? <P>.

---

<P>
The following is a DFT calculation (PBE-GGA) of crystalline FeNiSe3 at its relaxed geometry.

extended XYZ file:
```
10
Lattice="5.986 0.000 0.000 -2.993 5.184 0.000 0.000 0.000 5.454" Properties=species:S:1:pos:R:3 pbc="T T T"
Fe 0.000 0.000 0.000
Fe 0.000 0.000 2.727
Ni 0.000 3.456 0.000
Ni 0.000 3.456 2.727
Se 1.997 0.097 1.364
Se 1.082 1.681 4.091
Se 3.989 0.097 4.091
Se 2.078 3.406 1.364
Se 4.903 1.681 1.364
Se 3.908 3.406 4.091
```

Calculated values
* N(E_F): 4.088 states/eV/f.u.
* theoretical density: 6.90 g cm⁻³

---

<Q>
The following is a DFT calculation (PBE-GGA) of crystalline FeNiSe3 at its relaxed geometry.

extended XYZ file:
```
5
Lattice="4.696 0.000 0.000 0.000 4.696 0.000 0.000 0.000 4.696" Properties=species:S:1:pos:R:3 pbc="T T T"
Fe 0.000 0.000 0.000
Ni 2.348 2.348 2.348
Se 0.000 0.000 2.348
Se 0.000 2.348 0.000
Se 2.348 0.000 0.000
```

Calculated values
* N(E_F): 9.025 states/eV/f.u.
* theoretical density: 5.63 g cm⁻³

---

Stability check: which of them is most stable? <P>.

---

<P>
The following is a DFT calculation (PBE-GGA) of crystalline FeNi2Se6 at its relaxed geometry.

extended XYZ file:
```
18
Lattice="4.834 0.000 0.000 0.000 6.231 0.000 0.000 0.000 10.601" Properties=species:S:1:pos:R:3 pbc="T T T"
Fe 0.000 0.000 0.000
Fe 2.417 3.116 5.300
Ni 0.000 3.116 1.866
Ni 0.000 3.116 8.735
Ni 2.417 0.000 3.435
Ni 2.417 0.000 7.166
Se 1.120 1.978 3.675
Se 1.120 1.978 6.926
Se 1.153 5.113 5.300
Se 1.264 1.998 0.000
Se 1.297 5.094 1.625
Se 1.297 5.094 8.975
Se 3.537 1.138 1.625
Se 3.537 1.138 8.975
Se 3.570 4.233 0.000
Se 3.681 1.118 5.300
Se 3.714 4.253 3.675
Se 3.714 4.253 6.926
```

Calculated values
* N(E_F): 5.590 states/eV/f.u.
* theoretical density: 6.73 g cm⁻³

---

<Q>
The following is a DFT calculation (PBE-GGA) of crystalline FeNi2Se6 at its relaxed geometry.

extended XYZ file:
```
9
Lattice="5.796 -1.731 0.000 5.796 1.731 0.000 -4.291 0.000 9.182" Properties=species:S:1:pos:R:3 pbc="T T T"
Fe 0.000 0.000 0.000
Ni 1.000 0.000 6.120
Ni 6.302 0.000 3.062
Se -0.921 0.000 2.205
Se 1.906 0.000 3.909
Se 0.049 0.000 8.330
Se 7.253 0.000 0.852
Se 5.396 0.000 5.273
Se 8.223 0.000 6.978
```

Calculated values
* N(E_F): 5.600 states/eV/f.u.
* theoretical density: 5.83 g cm⁻³

---

Stability check: which of them is most stable? <Q>.

---

<P>
The following is a DFT calculation (PBE-GGA) of crystalline Fe4SiNi at its relaxed geometry.

extended XYZ file:
```
6
Lattice="0.000 3.287 3.287 3.287 0.000 3.287 3.287 3.287 0.000" Properties=species:S:1:pos:R:3 pbc="T T T"
Fe 0.820 0.820 0.820
Fe 2.467 2.467 0.820
Fe 2.467 0.820 2.467
Fe 0.820 2.467 2.467
Si 4.931 4.931 4.931
Ni 3.287 3.287 3.287
```

Calculated values
* N(E_F): 6.210 states/eV/f.u.
* theoretical density: 7.25 g cm⁻³

---

<Q>
The following is a DFT calculation (PBE-GGA) of crystalline Fe4SiNi at its relaxed geometry.

extended XYZ file:
```
6
Lattice="2.882 0.000 0.000 0.000 2.882 0.000 0.000 0.000 8.170" Properties=species:S:1:pos:R:3 pbc="T T T"
Fe 0.000 0.000 1.326
Fe 0.000 0.000 6.845
Fe 1.441 1.441 2.673
Fe 1.441 1.441 5.497
Si 1.441 1.441 0.000
Ni 0.000 0.000 4.085
```

Calculated values
* N(E_F): 4.958 states/eV/f.u.
* theoretical density: 7.59 g cm⁻³

---

Stability check: which of them is most stable? <Q>.

---

<P>
The following is a DFT calculation (PBE-GGA) of crystalline FeSiNi4 at its relaxed geometry.

extended XYZ file:
```
6
Lattice="3.695 0.000 0.000 0.000 3.695 0.000 0.000 0.000 5.676" Properties=species:S:1:pos:R:3 pbc="T T T"
Fe 0.000 0.000 0.000
Si 1.847 1.847 2.838
Ni 0.000 1.847 1.491
Ni 0.000 1.847 4.185
Ni 1.847 0.000 1.491
Ni 1.847 0.000 4.185
```

Calculated values
* N(E_F): 2.353 states/eV/f.u.
* theoretical density: 6.83 g cm⁻³

---

<Q>
The following is a DFT calculation (PBE-GGA) of crystalline FeSiNi4 at its relaxed geometry.

extended XYZ file:
```
6
Lattice="5.007 -1.310 0.000 5.007 1.310 0.000 -1.373 0.000 5.082" Properties=species:S:1:pos:R:3 pbc="T T T"
Fe 0.000 0.000 0.000
Si -0.686 0.000 2.541
Ni 3.134 0.000 0.900
Ni 2.515 0.000 3.360
Ni 6.125 0.000 1.723
Ni 5.506 0.000 4.183
```

Calculated values
* N(E_F): 4.929 states/eV/f.u.
* theoretical density: 7.94 g cm⁻³

---

Stability check: which of them is most stable? <Q>.

---

<P>
The following is a DFT calculation (PBE-GGA) of crystalline FeSi2Ni4 at its relaxed geometry.

extended XYZ file:
```
14
Lattice="3.331 -5.398 0.000 3.331 5.398 0.000 -2.594 0.000 4.459" Properties=species:S:1:pos:R:3 pbc="T T T"
Fe 2.034 4.353 2.229
Fe 3.331 -4.353 0.000
Si -0.450 1.827 3.535
Si 0.847 -1.827 1.306
Si 3.062 0.036 2.331
Si 4.358 -0.036 0.102
Ni 0.159 3.973 4.065
Ni 2.292 2.049 1.313
Ni 0.785 0.338 2.344
Ni 2.081 -0.338 0.115
Ni 1.989 2.237 3.834
Ni 0.995 -2.049 3.542
Ni 1.456 -3.973 1.835
Ni 3.286 -2.237 1.605
```

Calculated values
* N(E_F): 4.767 states/eV/f.u.
* theoretical density: 7.18 g cm⁻³

---

<Q>
The following is a DFT calculation (PBE-GGA) of crystalline FeSi2Ni4 at its relaxed geometry.

extended XYZ file:
```
14
Lattice="6.722 0.000 0.000 0.000 6.722 0.000 0.000 0.000 3.709" Properties=species:S:1:pos:R:3 pbc="T T T"
Fe 0.000 0.000 0.000
Fe 3.361 3.361 1.854
Si 1.538 1.538 1.854
Si 1.823 4.900 0.000
Si 4.900 1.823 0.000
Si 5.184 5.184 1.854
Ni 0.586 4.437 1.854
Ni 1.076 2.775 0.000
Ni 2.285 6.136 1.854
Ni 2.775 1.076 0.000
Ni 3.947 5.646 0.000
Ni 4.437 0.586 1.854
Ni 5.646 3.947 0.000
Ni 6.136 2.285 1.854
```

Calculated values
* N(E_F): 5.301 states/eV/f.u.
* theoretical density: 6.87 g cm⁻³

---

Stability check: which of them is most stable? <P>.

---

<P>
The following is a DFT calculation (PBE-GGA) of crystalline VFeSiNi at its relaxed geometry.

extended XYZ file:
```
4
Lattice="-1.854 1.854 3.313 1.854 -1.854 3.313 1.854 1.854 -3.313" Properties=species:S:1:pos:R:3 pbc="T T T"
V 0.000 0.000 0.000
Fe 1.854 0.000 1.657
Si 0.000 0.000 3.313
Ni 0.000 1.854 1.657
```

Calculated values
* N(E_F): 2.623 states/eV/f.u.
* theoretical density: 7.05 g cm⁻³

---

<Q>
The following is a DFT calculation (PBE-GGA) of crystalline VFeSiNi at its relaxed geometry.

extended XYZ file:
```
4
Lattice="0.000 2.840 2.840 2.840 0.000 2.840 2.840 2.840 0.000" Properties=species:S:1:pos:R:3 pbc="T T T"
V 0.000 0.000 0.000
Fe 4.260 4.260 4.260
Si 2.840 2.840 2.840
Ni 1.420 1.420 1.420
```

Calculated values
* N(E_F): 4.777 states/eV/f.u.
* theoretical density: 7.02 g cm⁻³

---

Stability check: which of them is most stable? <P>.

---

<P>
The following is a DFT calculation (PBE-GGA) of crystalline Fe3NiSn at its relaxed geometry.

extended XYZ file:
```
5
Lattice="4.429 0.000 0.000 0.000 4.429 0.000 0.000 0.000 4.429" Properties=species:S:1:pos:R:3 pbc="T T T"
Fe 0.000 0.000 2.215
Fe 0.000 2.215 0.000
Fe 2.215 0.000 0.000
Ni 0.000 0.000 0.000
Sn 2.215 2.215 2.215
```

Calculated values
* N(E_F): 4.042 states/eV/f.u.
* theoretical density: 6.59 g cm⁻³

---

<Q>
The following is a DFT calculation (PBE-GGA) of crystalline Fe3NiSn at its relaxed geometry.

extended XYZ file:
```
5
Lattice="4.713 0.000 0.000 0.000 4.713 0.000 0.000 0.000 4.713" Properties=species:S:1:pos:R:3 pbc="T T T"
Fe 0.000 0.000 2.357
Fe 0.000 2.357 0.000
Fe 2.357 0.000 0.000
Ni 2.357 2.357 2.357
Sn 0.000 0.000 0.000
```

Calculated values
* N(E_F): 7.040 states/eV/f.u.
* theoretical density: 5.47 g cm⁻³

---

Stability check: which of them is most stable? <P>.